Rb3Ac2HoTe6: optimized geometry, GGA-PBE.

```
Rb3Ac2HoTe6
1.0
8.2443 -0.0020 -0.0025
-4.1218 7.1399 -0.0025
-1.3775 -2.3851 8.5866
Te Rb Ac Ho
6 3 2 1
direct
0.9311 0.6164 0.7930
0.6164 0.9311 0.7930
0.3836 0.0689 0.2070
0.7555 0.7555 0.2079
0.0689 0.3836 0.2070
0.2445 0.2445 0.7921
0.5000 0.5000 0.5000
0.8295 0.1705 0.5000
0.1705 0.8295 0.5000
0.6662 0.3338 0.0000
0.3338 0.6662 0.0000
0.0000 0.0000 0.0000
```

Calculated values
Its raw formation energy is -1.445 eV/atom.


Rb2AcHoTe4: optimized geometry, GGA-PBE.

```
Rb2AcHoTe4
1.0
4.6956 0.0000 0.0000
0.0000 8.1494 0.1436
0.0000 -2.8516 8.5349
Rb Ac Te Ho
2 1 4 1
direct
0.5000 0.0000 0.5000
0.0000 0.5000 0.5000
0.5000 0.5000 0.0000
0.5000 0.2168 0.2004
0.5000 0.7832 0.7996
0.0000 0.7545 0.2089
0.0000 0.2455 0.7911
0.0000 0.0000 0.0000
```

Calculated values
Its raw formation energy is -1.419 eV/atom.


Rb3Ac3HoTe8: optimized geometry, GGA-PBE.

```
Rb3Ac3HoTe8
1.0
9.5228 0.0006 0.0002
-4.7609 8.2602 -0.0357
-0.0002 -5.4756 8.7787
Ac Rb Te Ho
3 3 8 1
direct
0.5000 0.5000 0.5000
0.0000 0.5000 0.5000
0.5000 0.0000 0.5000
0.0000 0.0000 0.0000
0.0000 0.5000 0.0000
0.5000 0.5000 0.0000
0.7384 0.4768 0.7151
0.2616 0.5232 0.2849
0.2231 0.4462 0.7002
0.2459 0.0228 0.2997
0.7541 0.9772 0.7003
0.7769 0.0227 0.2997
0.7769 0.5538 0.2998
0.2231 0.9773 0.7003
0.0000 0.0000 0.5000
```

Calculated values
Its raw formation energy is -1.364 eV/atom.


AcHoRe: optimized geometry, GGA-PBE.

```
AcHoRe
1.0
-4.7819 0.8104 3.8628
-5.8391 -1.4029 1.5431
-3.9121 -7.0411 8.5011
Ho Ac Re
2 2 2
direct
0.6870 0.6870 0.2455
0.0661 0.0661 0.0619
0.4606 0.4606 0.8417
0.2926 0.2926 0.4656
0.2471 0.2471 0.7513
0.5061 0.5061 0.5561
```

Calculated values
The value obtained for the formation energy from the elements is 627 meV per atom.


AcHo3Rh8: optimized geometry, GGA-PBE.

```
AcHo3Rh8
1.0
5.3754 0.0000 0.0000
-2.6877 4.6552 0.0000
0.0000 0.0000 8.8494
Rh Ho Ac
8 3 1
direct
0.3333 0.6667 0.4983
0.3333 0.6667 0.0006
0.1655 0.3311 0.2439
0.1655 0.8345 0.2439
0.5022 0.0044 0.7583
0.5022 0.4978 0.7583
0.9956 0.4978 0.7583
0.6689 0.8345 0.2439
0.0000 0.0000 0.9377
0.6667 0.3333 0.0640
0.6667 0.3333 0.4249
0.0000 0.0000 0.5680
```

Calculated values
The value obtained for the formation energy from the elements is -654 meV per atom.


Ac5HoRh4: optimized geometry, GGA-PBE.

```
Ac5HoRh4
1.0
-1.1166 -4.1023 -0.6399
5.0589 -0.3601 -6.5197
5.7504 -0.4742 7.4494
Ac Ho Rh
5 1 4
direct
0.5000 0.5000 0.0000
0.1652 0.8491 0.3304
0.8348 0.1509 0.6696
0.8377 0.6674 0.6755
0.1623 0.3326 0.3245
0.5000 0.0000 0.0000
0.9992 0.2450 0.9984
0.0008 0.7550 0.0016
0.6681 0.1023 0.3363
0.3319 0.8977 0.6637
```

Calculated values
The value obtained for the formation energy from the elements is -602 meV per atom.